1.
Compound: Mg16Al12Hg
Source: Alexandria via LeMat-Bulk
Functional: PBEsol
Structure: relaxed

* theoretical density: 2.7 g/cm³
* total magnetization: 0.0 μB/f.u.
* energy of formation from the pure elements: -0.028 eV/atom

```
data_Mg16Al12Hg
_symmetry_space_group_name_H-M 'C 1 m 1'
_symmetry_Int_Tables_number 8
_cell_length_a 10.4559
_cell_length_b 14.6691
_cell_length_c 9.0407
_cell_angle_alpha 90.00
_cell_angle_beta 124.65
_cell_angle_gamma 90.00
loop_
_symmetry_equiv_pos_as_xyz
'x,y,z'
'x,-y,z'
'x+1/2,y+1/2,z'
'x+1/2,-y+1/2,z'
loop_
_atom_site_label
_atom_site_fract_x
_atom_site_fract_y
_atom_site_fract_z
Mg1 0.0000 0.0000 0.0000
Mg2 0.0027 0.0000 0.3456
Mg3 0.0607 0.3438 0.4033
Mg4 0.1468 0.5000 0.6659
Mg5 0.1573 0.1586 0.6022
Mg6 0.1754 0.1758 0.9969
Mg7 0.1910 0.5000 0.2939
Mg8 0.3029 0.2990 0.3207
Mg9 0.4620 0.1361 0.9996
Mg10 0.4866 0.1940 0.6871
Al1 0.0072 0.1863 0.1899
Al2 0.1830 0.0000 0.8196
Al3 0.2336 0.4082 0.0112
Al4 0.2753 0.0939 0.3625
Al5 0.3193 0.3139 0.8200
Al6 0.3690 0.0000 0.1800
Al7 0.4081 0.4064 0.6369
Hg1 0.3767 0.0000 0.6970
```

2.
Compound: Mg2AlHg
Source: Alexandria via LeMat-Bulk
Functional: PBEsol
Structure: relaxed

* offset from the most stable computed form: 2 meV/atom
* theoretical density: 5.8 g/cm³
* total magnetization: 0.0 μB/f.u.
* energy of formation from the pure elements: -0.119 eV/atom

```
data_Mg2AlHg
_symmetry_space_group_name_H-M 'P m m m'
_symmetry_Int_Tables_number 47
_cell_length_a 3.2079
_cell_length_b 4.0379
_cell_length_c 6.0646
_cell_angle_alpha 90.00
_cell_angle_beta 90.00
_cell_angle_gamma 90.00
loop_
_symmetry_equiv_pos_as_xyz
'x,y,z'
'-x,-y,-z'
'-x,-y,z'
'x,y,-z'
'x,-y,-z'
'-x,y,z'
'-x,y,-z'
'x,-y,z'
loop_
_atom_site_label
_atom_site_fract_x
_atom_site_fract_y
_atom_site_fract_z
Mg1 0.0000 0.0000 0.2478
Al1 0.5000 0.5000 0.0000
Hg1 0.5000 0.5000 0.5000
```

3.
Compound: MgAl2Hg
Source: Alexandria via LeMat-Bulk
Functional: PBEsol
Structure: relaxed

* offset from the most stable computed form: 0 meV/atom
* theoretical density: 6.2 g/cm³
* total magnetization: 0.0 μB/f.u.
* energy of formation from the pure elements: -0.010 eV/atom

```
data_MgAl2Hg
_symmetry_space_group_name_H-M 'I -4 m 2'
_symmetry_Int_Tables_number 119
_symmetry_space_group_name_Hall 'I -4 -2'
_cell_length_a 4.2244
_cell_length_b 4.2244
_cell_length_c 8.3710
_cell_angle_alpha 90.00
_cell_angle_beta 90.00
_cell_angle_gamma 90.00
loop_
_atom_site_label
_atom_site_fract_x
_atom_site_fract_y
_atom_site_fract_z
Mg1 0.0000 0.0000 0.0000
Al1 0.0000 0.0000 0.5000
Al2 0.0000 0.5000 0.7500
Hg1 0.0000 0.5000 0.2500
```

4.
Compound: Mg2AlHg
Source: Alexandria via LeMat-Bulk
Functional: PBEsol
Structure: relaxed

* offset from the most stable computed form: 5 meV/atom
* theoretical density: 5.8 g/cm³
* total magnetization: 0.0 μB/f.u.
* energy of formation from the pure elements: -0.116 eV/atom

```
data_Mg2AlHg
_symmetry_space_group_name_H-M 'P 4/m m m'
_symmetry_Int_Tables_number 123
_symmetry_space_group_name_Hall '-P 4 2'
_cell_length_a 3.1209
_cell_length_b 3.1209
_cell_length_c 8.1413
_cell_angle_alpha 90.00
_cell_angle_beta 90.00
_cell_angle_gamma 90.00
loop_
_atom_site_label
_atom_site_fract_x
_atom_site_fract_y
_atom_site_fract_z
Mg1 0.0000 0.0000 0.2504
Al1 0.5000 0.5000 0.0000
Hg1 0.5000 0.5000 0.5000
```

5.
Compound: Mg2AlHg
Source: Alexandria via LeMat-Bulk
Functional: PBEsol
Structure: relaxed

* offset from the most stable computed form: 12 meV/atom
* theoretical density: 5.8 g/cm³
* total magnetization: 0.0 μB/f.u.
* energy of formation from the pure elements: -0.110 eV/atom

```
data_Mg2AlHg
_symmetry_space_group_name_H-M 'P m m 2'
_symmetry_Int_Tables_number 25
_cell_length_a 3.2730
_cell_length_b 4.8073
_cell_length_c 5.0100
_cell_angle_alpha 90.00
_cell_angle_beta 90.00
_cell_angle_gamma 90.00
loop_
_symmetry_equiv_pos_as_xyz
'x,y,z'
'-x,-y,z'
'-x,y,z'
'x,-y,z'
loop_
_atom_site_label
_atom_site_fract_x
_atom_site_fract_y
_atom_site_fract_z
Mg1 0.0000 0.0000 0.0000
Mg2 0.0000 0.5000 0.3824
Al1 0.5000 0.5000 0.8784
Hg1 0.5000 0.0000 0.5110
```

6.
Compound: Mg2AlHgN
Source: Alexandria via LeMat-Bulk
Functional: PBEsol
Structure: relaxed

* theoretical density: 6.4 g/cm³
* total magnetization: 0.0 μB/f.u.
* formation energy from raw total energies: -0.4304 eV/atom

```
data_Mg2AlHgN
_symmetry_space_group_name_H-M 'P 4/m m m'
_symmetry_Int_Tables_number 123
_symmetry_space_group_name_Hall '-P 4 2'
_cell_length_a 4.4036
_cell_length_b 4.4036
_cell_length_c 3.8769
_cell_angle_alpha 90.00
_cell_angle_beta 90.00
_cell_angle_gamma 90.00
loop_
_atom_site_label
_atom_site_fract_x
_atom_site_fract_y
_atom_site_fract_z
Mg1 0.0000 0.5000 0.0000
Al1 0.0000 0.0000 0.5000
Hg1 0.5000 0.5000 0.5000
N1 0.0000 0.0000 0.0000
```

7.
Compound: MnAl4Hg
Source: Alexandria via LeMat-Bulk
Functional: PBEsol
Structure: relaxed

* theoretical density: 5.9 g/cm³
* total magnetization: 3.1 μB/f.u.
* energy of formation from the pure elements: 0.303 eV/atom

```
data_MnAl4Hg
_symmetry_space_group_name_H-M 'F -4 3 m'
_symmetry_Int_Tables_number 216
_symmetry_space_group_name_Hall 'F -4 2 3'
_cell_length_a 7.4400
_cell_length_b 7.4400
_cell_length_c 7.4400
_cell_angle_alpha 90.00
_cell_angle_beta 90.00
_cell_angle_gamma 90.00
loop_
_atom_site_label
_atom_site_fract_x
_atom_site_fract_y
_atom_site_fract_z
Mn1 0.0000 0.0000 0.0000
Al1 0.1255 0.1255 0.3745
Hg1 0.2500 0.2500 0.7500
```

8.
Compound: MnAl2Hg
Source: Alexandria via LeMat-Bulk
Functional: PBEsol
Structure: relaxed

* theoretical density: 7.2 g/cm³
* total magnetization: 3.1 μB/f.u.
* energy of formation from the pure elements: 0.412 eV/atom

```
data_MnAl2Hg
_symmetry_space_group_name_H-M 'I -4 2 d'
_symmetry_Int_Tables_number 122
_symmetry_space_group_name_Hall 'I -4 2bw'
_cell_length_a 7.2759
_cell_length_b 7.2759
_cell_length_c 5.3976
_cell_angle_alpha 90.00
_cell_angle_beta 90.00
_cell_angle_gamma 90.00
loop_
_atom_site_label
_atom_site_fract_x
_atom_site_fract_y
_atom_site_fract_z
Mn1 0.0000 0.0000 0.0000
Al1 0.2395 0.2500 0.1250
Hg1 0.0000 0.0000 0.5000
```

9.
Compound: MnAl2Hg
Source: Alexandria via LeMat-Bulk
Functional: PBEsol
Structure: relaxed

* theoretical density: 8.0 g/cm³
* total magnetization: 2.3 μB/f.u.
* energy of formation from the pure elements: 0.079 eV/atom

```
data_MnAl2Hg
_symmetry_space_group_name_H-M 'R -3 m'
_symmetry_Int_Tables_number 166
_symmetry_space_group_name_Hall '-R 3 2"'
_cell_length_a 2.9149
_cell_length_b 2.9149
_cell_length_c 26.2868
_cell_angle_alpha 90.00
_cell_angle_beta 90.00
_cell_angle_gamma 120.00
loop_
_atom_site_label
_atom_site_fract_x
_atom_site_fract_y
_atom_site_fract_z
Mn1 0.0000 0.0000 0.0000
Al1 0.0000 0.0000 0.2604
Hg1 0.0000 0.0000 0.5000
```

10.
Compound: MnAlHg2
Source: Alexandria via LeMat-Bulk
Functional: PBEsol
Structure: relaxed

* theoretical density: 10.8 g/cm³
* total magnetization: 3.3 μB/f.u.
* energy of formation from the pure elements: 0.199 eV/atom

```
data_MnAlHg2
_symmetry_space_group_name_H-M 'I m m 2'
_symmetry_Int_Tables_number 44
_cell_length_a 2.9589
_cell_length_b 4.5622
_cell_length_c 11.0058
_cell_angle_alpha 90.00
_cell_angle_beta 90.00
_cell_angle_gamma 90.00
loop_
_symmetry_equiv_pos_as_xyz
'x,y,z'
'-x,-y,z'
'-x,y,z'
'x,-y,z'
'x+1/2,y+1/2,z+1/2'
'-x+1/2,-y+1/2,z+1/2'
'-x+1/2,y+1/2,z+1/2'
'x+1/2,-y+1/2,z+1/2'
loop_
_atom_site_label
_atom_site_fract_x
_atom_site_fract_y
_atom_site_fract_z
Mn1 0.0000 0.0000 0.0000
Al1 0.0000 0.5000 0.6934
Hg1 0.0000 0.0000 0.5000
Hg2 0.0000 0.5000 0.2828
```

11.
Compound: MnAlHg2
Source: Alexandria via LeMat-Bulk
Functional: PBEsol
Structure: relaxed

* theoretical density: 11.1 g/cm³
* total magnetization: 3.9 μB/f.u.
* energy of formation from the pure elements: 0.270 eV/atom

```
data_MnAlHg2
_symmetry_space_group_name_H-M 'P 4/m m m'
_symmetry_Int_Tables_number 123
_symmetry_space_group_name_Hall '-P 4 2'
_cell_length_a 3.1173
_cell_length_b 3.1173
_cell_length_c 7.4641
_cell_angle_alpha 90.00
_cell_angle_beta 90.00
_cell_angle_gamma 90.00
loop_
_atom_site_label
_atom_site_fract_x
_atom_site_fract_y
_atom_site_fract_z
Mn1 0.0000 0.0000 0.0000
Al1 0.0000 0.0000 0.5000
Hg1 0.5000 0.5000 0.2420
```

12.
Compound: MnAl2Hg
Source: Alexandria via LeMat-Bulk
Functional: PBEsol
Structure: relaxed

* theoretical density: 8.2 g/cm³
* total magnetization: 2.5 μB/f.u.
* energy of formation from the pure elements: 0.064 eV/atom

```
data_MnAl2Hg
_symmetry_space_group_name_H-M 'P m m 2'
_symmetry_Int_Tables_number 25
_cell_length_a 3.0190
_cell_length_b 3.8004
_cell_length_c 5.4644
_cell_angle_alpha 90.00
_cell_angle_beta 90.00
_cell_angle_gamma 90.00
loop_
_symmetry_equiv_pos_as_xyz
'x,y,z'
'-x,-y,z'
'-x,y,z'
'x,-y,z'
loop_
_atom_site_label
_atom_site_fract_x
_atom_site_fract_y
_atom_site_fract_z
Mn1 0.0000 0.0000 0.0000
Al1 0.0000 0.0000 0.4648
Al2 0.5000 0.5000 0.1980
Hg1 0.5000 0.5000 0.7148
```

13.
Compound: MnAlHg2
Source: Alexandria via LeMat-Bulk
Functional: PBEsol
Structure: relaxed

* theoretical density: 11.1 g/cm³
* total magnetization: 2.8 μB/f.u.
* energy of formation from the pure elements: 0.108 eV/atom

```
data_MnAlHg2
_symmetry_space_group_name_H-M 'P 1 m 1'
_symmetry_Int_Tables_number 6
_cell_length_a 2.9510
_cell_length_b 2.8519
_cell_length_c 8.6169
_cell_angle_alpha 90.00
_cell_angle_beta 95.95
_cell_angle_gamma 90.00
loop_
_symmetry_equiv_pos_as_xyz
'x,y,z'
'x,-y,z'
loop_
_atom_site_label
_atom_site_fract_x
_atom_site_fract_y
_atom_site_fract_z
Mn1 0.0000 0.0000 0.0000
Al1 0.5565 0.5000 0.1814
Hg1 0.4252 0.5000 0.7701
Hg2 0.5342 0.0000 0.4637
```

14.
Compound: Al2HgMo
Source: Alexandria via LeMat-Bulk
Functional: PBEsol
Structure: relaxed

* theoretical density: 8.9 g/cm³
* total magnetization: 0.0 μB/f.u.
* energy of formation from the pure elements: 0.097 eV/atom

```
data_Al2HgMo
_symmetry_space_group_name_H-M 'P m m 2'
_symmetry_Int_Tables_number 25
_cell_length_a 2.9918
_cell_length_b 3.9439
_cell_length_c 5.5530
_cell_angle_alpha 90.00
_cell_angle_beta 90.00
_cell_angle_gamma 90.00
loop_
_symmetry_equiv_pos_as_xyz
'x,y,z'
'-x,-y,z'
'-x,y,z'
'x,-y,z'
loop_
_atom_site_label
_atom_site_fract_x
_atom_site_fract_y
_atom_site_fract_z
Al1 0.0000 0.0000 0.0000
Al2 0.5000 0.5000 0.2707
Hg1 0.0000 0.0000 0.5037
Mo1 0.5000 0.5000 0.7970
```

15.
Compound: AlHg2Mo
Source: Alexandria via LeMat-Bulk
Functional: PBEsol
Structure: relaxed

* theoretical density: 12.1 g/cm³
* total magnetization: 0.0 μB/f.u.
* energy of formation from the pure elements: 0.278 eV/atom

```
data_AlHg2Mo
_symmetry_space_group_name_H-M 'P m m 2'
_symmetry_Int_Tables_number 25
_cell_length_a 2.9435
_cell_length_b 3.6192
_cell_length_c 6.7458
_cell_angle_alpha 90.00
_cell_angle_beta 90.00
_cell_angle_gamma 90.00
loop_
_symmetry_equiv_pos_as_xyz
'x,y,z'
'-x,-y,z'
'-x,y,z'
'x,-y,z'
loop_
_atom_site_label
_atom_site_fract_x
_atom_site_fract_y
_atom_site_fract_z
Al1 0.0000 0.0000 0.0000
Hg1 0.0000 0.0000 0.5500
Hg2 0.5000 0.5000 0.2609
Mo1 0.5000 0.5000 0.8188
```

16.
Compound: AlHg2Mo
Source: Alexandria via LeMat-Bulk
Functional: PBEsol
Structure: relaxed

* theoretical density: 12.2 g/cm³
* total magnetization: 0.0 μB/f.u.
* energy of formation from the pure elements: 0.337 eV/atom

```
data_AlHg2Mo
_symmetry_space_group_name_H-M 'I m m 2'
_symmetry_Int_Tables_number 44
_cell_length_a 3.0036
_cell_length_b 4.8666
_cell_length_c 9.7696
_cell_angle_alpha 90.00
_cell_angle_beta 90.00
_cell_angle_gamma 90.00
loop_
_symmetry_equiv_pos_as_xyz
'x,y,z'
'-x,-y,z'
'-x,y,z'
'x,-y,z'
'x+1/2,y+1/2,z+1/2'
'-x+1/2,-y+1/2,z+1/2'
'-x+1/2,y+1/2,z+1/2'
'x+1/2,-y+1/2,z+1/2'
loop_
_atom_site_label
_atom_site_fract_x
_atom_site_fract_y
_atom_site_fract_z
Al1 0.0000 0.0000 0.0000
Hg1 0.0000 0.0000 0.5202
Hg2 0.0000 0.5000 0.7497
Mo1 0.0000 0.5000 0.2787
```

17.
Compound: AlHgMo
Source: Alexandria via LeMat-Bulk
Functional: PBEsol
Structure: relaxed

* theoretical density: 9.7 g/cm³
* total magnetization: 1.0 μB/f.u.
* energy of formation from the pure elements: 0.666 eV/atom

```
data_AlHgMo
_symmetry_space_group_name_H-M 'F -4 3 m'
_symmetry_Int_Tables_number 216
_symmetry_space_group_name_Hall 'F -4 2 3'
_cell_length_a 6.0549
_cell_length_b 6.0549
_cell_length_c 6.0549
_cell_angle_alpha 90.00
_cell_angle_beta 90.00
_cell_angle_gamma 90.00
loop_
_atom_site_label
_atom_site_fract_x
_atom_site_fract_y
_atom_site_fract_z
Al1 0.0000 0.0000 0.0000
Hg1 0.2500 0.2500 0.7500
Mo1 0.2500 0.2500 0.2500
```

18.
Compound: AlHgSb2Mo
Source: Alexandria via LeMat-Bulk
Functional: PBEsol
Structure: relaxed

* theoretical density: 6.2 g/cm³
* total magnetization: 3.5 μB/f.u.
* formation energy from raw total energies: 1.5308 eV/atom

```
data_AlHgSb2Mo
_symmetry_space_group_name_H-M 'P 4/m m m'
_symmetry_Int_Tables_number 123
_symmetry_space_group_name_Hall '-P 4 2'
_cell_length_a 5.3920
_cell_length_b 5.3920
_cell_length_c 5.2484
_cell_angle_alpha 90.00
_cell_angle_beta 90.00
_cell_angle_gamma 90.00
loop_
_atom_site_label
_atom_site_fract_x
_atom_site_fract_y
_atom_site_fract_z
Al1 0.0000 0.0000 0.0000
Hg1 0.5000 0.5000 0.5000
Sb1 0.0000 0.5000 0.5000
Mo1 0.5000 0.5000 0.0000
```

19.
Compound: AlHgTeMo2
Source: Alexandria via LeMat-Bulk
Functional: PBEsol
Structure: relaxed

* theoretical density: 8.5 g/cm³
* total magnetization: 3.6 μB/f.u.
* formation energy from raw total energies: 1.3863 eV/atom

```
data_AlHgTeMo2
_symmetry_space_group_name_H-M 'P 4/m m m'
_symmetry_Int_Tables_number 123
_symmetry_space_group_name_Hall '-P 4 2'
_cell_length_a 4.7917
_cell_length_b 4.7917
_cell_length_c 4.6661
_cell_angle_alpha 90.00
_cell_angle_beta 90.00
_cell_angle_gamma 90.00
loop_
_atom_site_label
_atom_site_fract_x
_atom_site_fract_y
_atom_site_fract_z
Al1 0.0000 0.0000 0.0000
Hg1 0.0000 0.0000 0.5000
Te1 0.5000 0.5000 0.5000
Mo1 0.0000 0.5000 0.0000
```

20.
Compound: AlReHgN2
Source: Alexandria via LeMat-Bulk
Functional: PBEsol
Structure: relaxed

* theoretical density: 9.3 g/cm³
* total magnetization: 0.0 μB/f.u.
* formation energy from raw total energies: 0.3944 eV/atom

```
data_AlReHgN2
_symmetry_space_group_name_H-M 'P 4/m m m'
_symmetry_Int_Tables_number 123
_symmetry_space_group_name_Hall '-P 4 2'
_cell_length_a 3.8413
_cell_length_b 3.8413
_cell_length_c 5.3441
_cell_angle_alpha 90.00
_cell_angle_beta 90.00
_cell_angle_gamma 90.00
loop_
_atom_site_label
_atom_site_fract_x
_atom_site_fract_y
_atom_site_fract_z
Al1 0.0000 0.0000 0.0000
Re1 0.0000 0.0000 0.5000
Hg1 0.5000 0.5000 0.0000
N1 0.0000 0.5000 0.5000
```